Entry 1:
## Nd2MgZr (PBE)

Data for an optimized crystal structure of Nd2MgZr.

CIF file:
```
data_Nd2MgZr
_cell_length_a 3.4751
_cell_length_b 3.4751
_cell_length_c 9.6052
_cell_angle_alpha 90.00
_cell_angle_beta 90.00
_cell_angle_gamma 90.00
_space_group_name_H-M_alt 'P 1'
_space_group_IT_number 1
loop_
_space_group_symop_operation_xyz
'x,y,z'
loop_
_atom_site_label
_atom_site_type_symbol
_atom_site_fract_x
_atom_site_fract_y
_atom_site_fract_z
_atom_site_occupancy
Nd1 Nd 0.0000 0.0000 0.2454 1
Nd2 Nd 0.0000 0.0000 0.7546 1
Mg1 Mg 0.5000 0.5000 0.5000 1
Zr1 Zr 0.5000 0.5000 0.0000 1
```

N(E_F) = 5.3 states/eV/cell
SG = P4/mmm
formation energy from the elements = 0.04 eV per atom


Entry 2:
## CaTi2Pt (PBE)

Data for an optimized crystal structure of CaTi2Pt.

CIF file:
```
data_CaTi2Pt
_cell_length_a 6.5890
_cell_length_b 6.5890
_cell_length_c 6.5890
_cell_angle_alpha 90.00
_cell_angle_beta 90.00
_cell_angle_gamma 90.00
_space_group_name_H-M_alt 'P 1'
_space_group_IT_number 1
loop_
_space_group_symop_operation_xyz
'x,y,z'
loop_
_atom_site_label
_atom_site_type_symbol
_atom_site_fract_x
_atom_site_fract_y
_atom_site_fract_z
_atom_site_occupancy
Ca1 Ca 0.0000 0.0000 0.0000 1
Ca2 Ca 0.0000 0.5000 0.5000 1
Ca3 Ca 0.5000 0.0000 0.5000 1
Ca4 Ca 0.5000 0.5000 0.0000 1
Ti1 Ti 0.2500 0.2500 0.2500 1
Ti2 Ti 0.2500 0.2500 0.7500 1
Ti3 Ti 0.2500 0.7500 0.2500 1
Ti4 Ti 0.2500 0.7500 0.7500 1
Ti5 Ti 0.7500 0.2500 0.2500 1
Ti6 Ti 0.7500 0.2500 0.7500 1
Ti7 Ti 0.7500 0.7500 0.2500 1
Ti8 Ti 0.7500 0.7500 0.7500 1
Pt1 Pt 0.0000 0.0000 0.5000 1
Pt2 Pt 0.0000 0.5000 0.0000 1
Pt3 Pt 0.5000 0.0000 0.0000 1
Pt4 Pt 0.5000 0.5000 0.5000 1
```

N(E_F) = 28.6 states/eV/cell
SG = Fm-3m
formation energy from the elements = -0.06 eV per atom


Entry 3:
## Ca2Re (PBE)

Data for an optimized crystal structure of Ca2Re.

CIF file:
```
data_Ca2Re
_cell_length_a 8.9635
_cell_length_b 8.9635
_cell_length_c 2.9818
_cell_angle_alpha 90.00
_cell_angle_beta 90.00
_cell_angle_gamma 120.00
_space_group_name_H-M_alt 'P 1'
_space_group_IT_number 1
loop_
_space_group_symop_operation_xyz
'x,y,z'
loop_
_atom_site_label
_atom_site_type_symbol
_atom_site_fract_x
_atom_site_fract_y
_atom_site_fract_z
_atom_site_occupancy
Ca1 Ca 0.0000 0.3045 0.0000 1
Ca2 Ca 0.0000 0.6376 0.5000 1
Ca3 Ca 0.3045 0.0000 0.0000 1
Ca4 Ca 0.3624 0.3624 0.5000 1
Ca5 Ca 0.6376 0.0000 0.5000 1
Ca6 Ca 0.6955 0.6955 0.0000 1
Re1 Re 0.0000 0.0000 0.5000 1
Re2 Re 0.3333 0.6667 0.0000 1
Re3 Re 0.6667 0.3333 0.0000 1
```

N(E_F) = 8.2 states/eV/cell
SG = P-62m
formation energy from the elements = 0.75 eV per atom


Entry 4:
## ReSF2 (PBE)

Data for an optimized crystal structure of ReSF2.

CIF file:
```
data_ReSF2
_cell_length_a 2.6960
_cell_length_b 2.6960
_cell_length_c 31.2262
_cell_angle_alpha 90.00
_cell_angle_beta 90.00
_cell_angle_gamma 120.00
_space_group_name_H-M_alt 'P 1'
_space_group_IT_number 1
loop_
_space_group_symop_operation_xyz
'x,y,z'
loop_
_atom_site_label
_atom_site_type_symbol
_atom_site_fract_x
_atom_site_fract_y
_atom_site_fract_z
_atom_site_occupancy
Re1 Re 0.0000 0.0000 0.0000 1
Re2 Re 0.3333 0.6667 0.6667 1
Re3 Re 0.6667 0.3333 0.3333 1
S1 S 0.0000 0.0000 0.5000 1
S2 S 0.3333 0.6667 0.1667 1
S3 S 0.6667 0.3333 0.8333 1
F1 F 0.0000 0.0000 0.0605 1
F2 F 0.0000 0.0000 0.9395 1
F3 F 0.3333 0.6667 0.6062 1
F4 F 0.3333 0.6667 0.7271 1
F5 F 0.6667 0.3333 0.2729 1
F6 F 0.6667 0.3333 0.3938 1
```

N(E_F) = 6.9 states/eV/cell
SG = R-3m
total DFT energy (no corrections) = -69.259 eV/cell


Entry 5:
## K2AgI2 (PBE)

Data for an optimized crystal structure of K2AgI2.

CIF file:
```
data_K2AgI2
_cell_length_a 6.8793
_cell_length_b 6.8793
_cell_length_c 10.1734
_cell_angle_alpha 90.00
_cell_angle_beta 90.00
_cell_angle_gamma 90.00
_space_group_name_H-M_alt 'P 1'
_space_group_IT_number 1
loop_
_space_group_symop_operation_xyz
'x,y,z'
loop_
_atom_site_label
_atom_site_type_symbol
_atom_site_fract_x
_atom_site_fract_y
_atom_site_fract_z
_atom_site_occupancy
K1 K 0.0000 0.5000 0.2500 1
K2 K 0.0000 0.5000 0.7500 1
K3 K 0.5000 0.0000 0.2500 1
K4 K 0.5000 0.0000 0.7500 1
Ag1 Ag 0.0000 0.0000 0.0000 1
Ag2 Ag 0.5000 0.5000 0.5000 1
I1 I 0.0000 0.0000 0.2976 1
I2 I 0.0000 0.0000 0.7024 1
I3 I 0.5000 0.5000 0.2024 1
I4 I 0.5000 0.5000 0.7976 1
```

N(E_F) = 5.9 states/eV/cell
SG = I4/mmm
total DFT energy (no corrections) = -23.232 eV/cell


Entry 6:
## NpU2P (PBE)

Data for an optimized crystal structure of NpU2P.

CIF file:
```
data_NpU2P
_cell_length_a 3.6457
_cell_length_b 3.6457
_cell_length_c 19.9792
_cell_angle_alpha 90.00
_cell_angle_beta 90.00
_cell_angle_gamma 120.00
_space_group_name_H-M_alt 'P 1'
_space_group_IT_number 1
loop_
_space_group_symop_operation_xyz
'x,y,z'
loop_
_atom_site_label
_atom_site_type_symbol
_atom_site_fract_x
_atom_site_fract_y
_atom_site_fract_z
_atom_site_occupancy
Np1 Np 0.0000 0.0000 0.0000 1
Np2 Np 0.3333 0.6667 0.6667 1
Np3 Np 0.6667 0.3333 0.3333 1
U1 U 0.0000 0.0000 0.5927 1
U2 U 0.0000 0.0000 0.7458 1
U3 U 0.3333 0.6667 0.2593 1
U4 U 0.3333 0.6667 0.4124 1
U5 U 0.6667 0.3333 0.0791 1
U6 U 0.6667 0.3333 0.9260 1
P1 P 0.0000 0.0000 0.1701 1
P2 P 0.3333 0.6667 0.8368 1
P3 P 0.6667 0.3333 0.5034 1
```

N(E_F) = 27.0 states/eV/cell
SG = R3m
formation energy from the elements = -0.30 eV per atom


Entry 7:
## CsSb2F7 (PBE)

Data for an optimized crystal structure of CsSb2F7.

CIF file:
```
data_CsSb2F7
_cell_length_a 9.2346
_cell_length_b 9.2346
_cell_length_c 6.4975
_cell_angle_alpha 90.82
_cell_angle_beta 90.82
_cell_angle_gamma 50.45
_space_group_name_H-M_alt 'P 1'
_space_group_IT_number 1
loop_
_space_group_symop_operation_xyz
'x,y,z'
loop_
_atom_site_label
_atom_site_type_symbol
_atom_site_fract_x
_atom_site_fract_y
_atom_site_fract_z
_atom_site_occupancy
Cs1 Cs 0.1864 0.8136 0.7500 1
Cs2 Cs 0.8136 0.1864 0.2500 1
Sb1 Sb 0.1657 0.4721 0.2285 1
Sb2 Sb 0.4721 0.1657 0.7285 1
Sb3 Sb 0.5279 0.8343 0.2715 1
Sb4 Sb 0.8343 0.5279 0.7715 1
F1 F 0.0000 0.5000 0.5000 1
F2 F 0.0759 0.3305 0.9150 1
F3 F 0.1367 0.6868 0.3483 1
F4 F 0.3010 0.4790 0.9800 1
F5 F 0.3132 0.8633 0.1517 1
F6 F 0.3305 0.0759 0.4150 1
F7 F 0.4790 0.3010 0.4800 1
F8 F 0.5000 0.0000 0.0000 1
F9 F 0.5210 0.6990 0.5200 1
F10 F 0.6695 0.9241 0.5850 1
F11 F 0.6868 0.1367 0.8483 1
F12 F 0.6990 0.5210 0.0200 1
F13 F 0.8633 0.3132 0.6517 1
F14 F 0.9241 0.6695 0.0850 1
```

N(E_F) = 0.0 states/eV/cell
SG = C2/c
total DFT energy (no corrections) = -94.180 eV/cell


Entry 8:
## KInW2 (PBE)

Data for an optimized crystal structure of KInW2.

CIF file:
```
data_KInW2
_cell_length_a 2.8415
_cell_length_b 3.9996
_cell_length_c 8.4856
_cell_angle_alpha 90.00
_cell_angle_beta 94.66
_cell_angle_gamma 90.00
_space_group_name_H-M_alt 'P 1'
_space_group_IT_number 1
loop_
_space_group_symop_operation_xyz
'x,y,z'
loop_
_atom_site_label
_atom_site_type_symbol
_atom_site_fract_x
_atom_site_fract_y
_atom_site_fract_z
_atom_site_occupancy
K1 K 0.0000 0.0000 0.0000 1
In1 In 0.4257 0.5000 0.6779 1
W1 W 0.4816 0.5000 0.3203 1
W2 W 0.8487 0.0000 0.4730 1
```

N(E_F) = 2.9 states/eV/cell
SG = Pm
formation energy from the elements = 0.73 eV per atom


Entry 9:
## Sc2InIN (PBE)

Data for an optimized crystal structure of Sc2InIN.

CIF file:
```
data_Sc2InIN
_cell_length_a 5.5308
_cell_length_b 5.5308
_cell_length_c 4.1333
_cell_angle_alpha 90.00
_cell_angle_beta 90.00
_cell_angle_gamma 90.00
_space_group_name_H-M_alt 'P 1'
_space_group_IT_number 1
loop_
_space_group_symop_operation_xyz
'x,y,z'
loop_
_atom_site_label
_atom_site_type_symbol
_atom_site_fract_x
_atom_site_fract_y
_atom_site_fract_z
_atom_site_occupancy
Sc1 Sc 0.0000 0.5000 0.0000 1
Sc2 Sc 0.5000 0.0000 0.0000 1
In1 In 0.0000 0.0000 0.0000 1
I1 I 0.5000 0.5000 0.5000 1
N1 N 0.0000 0.0000 0.5000 1
```

N(E_F) = 4.4 states/eV/cell
SG = P4/mmm
total DFT energy (no corrections) = -22.140 eV/cell


Entry 10:
## TcMoIr3 (PBE)

Data for an optimized crystal structure of TcMoIr3.

CIF file:
```
data_TcMoIr3
_cell_length_a 4.6936
_cell_length_b 4.6936
_cell_length_c 4.6936
_cell_angle_alpha 90.00
_cell_angle_beta 90.00
_cell_angle_gamma 90.00
_space_group_name_H-M_alt 'P 1'
_space_group_IT_number 1
loop_
_space_group_symop_operation_xyz
'x,y,z'
loop_
_atom_site_label
_atom_site_type_symbol
_atom_site_fract_x
_atom_site_fract_y
_atom_site_fract_z
_atom_site_occupancy
Tc1 Tc 0.0000 0.0000 0.0000 1
Mo1 Mo 0.5000 0.5000 0.5000 1
Ir1 Ir 0.0000 0.5000 0.5000 1
Ir2 Ir 0.5000 0.0000 0.5000 1
Ir3 Ir 0.5000 0.5000 0.0000 1
```

N(E_F) = 4.3 states/eV/cell
SG = Pm-3m
formation energy from the elements = 1.89 eV per atom


Entry 11:
## ThHg2Bi (PBE)

Data for an optimized crystal structure of ThHg2Bi.

CIF file:
```
data_ThHg2Bi
_cell_length_a 3.9809
_cell_length_b 3.9809
_cell_length_c 6.9420
_cell_angle_alpha 90.00
_cell_angle_beta 90.00
_cell_angle_gamma 90.00
_space_group_name_H-M_alt 'P 1'
_space_group_IT_number 1
loop_
_space_group_symop_operation_xyz
'x,y,z'
loop_
_atom_site_label
_atom_site_type_symbol
_atom_site_fract_x
_atom_site_fract_y
_atom_site_fract_z
_atom_site_occupancy
Th1 Th 0.0000 0.0000 0.0000 1
Hg1 Hg 0.5000 0.5000 0.2582 1
Hg2 Hg 0.5000 0.5000 0.7418 1
Bi1 Bi 0.0000 0.0000 0.5000 1
```

N(E_F) = 3.7 states/eV/cell
SG = P4/mmm
formation energy from the elements = -0.15 eV per atom


Entry 12:
## Er6CoAu3 (PBE)

Data for an optimized crystal structure of Er6CoAu3.

CIF file:
```
data_Er6CoAu3
_cell_length_a 6.6143
_cell_length_b 7.6646
_cell_length_c 12.0676
_cell_angle_alpha 90.00
_cell_angle_beta 122.49
_cell_angle_gamma 90.00
_space_group_name_H-M_alt 'P 1'
_space_group_IT_number 1
loop_
_space_group_symop_operation_xyz
'x,y,z'
loop_
_atom_site_label
_atom_site_type_symbol
_atom_site_fract_x
_atom_site_fract_y
_atom_site_fract_z
_atom_site_occupancy
Er1 Er 0.0809 0.1980 0.4340 1
Er2 Er 0.0809 0.3020 0.9340 1
Er3 Er 0.2617 0.6601 0.4284 1
Er4 Er 0.2617 0.8399 0.9284 1
Er5 Er 0.3898 0.0417 0.2363 1
Er6 Er 0.3898 0.4583 0.7363 1
Er7 Er 0.6102 0.5417 0.2637 1
Er8 Er 0.6102 0.9583 0.7637 1
Er9 Er 0.7383 0.1601 0.0716 1
Er10 Er 0.7383 0.3399 0.5716 1
Er11 Er 0.9191 0.6980 0.0660 1
Er12 Er 0.9191 0.8020 0.5660 1
Co1 Co 0.0000 0.0000 0.0000 1
Co2 Co 0.0000 0.5000 0.5000 1
Au1 Au 0.1776 0.1157 0.7365 1
Au2 Au 0.1776 0.3843 0.2365 1
Au3 Au 0.5000 0.0000 0.5000 1
Au4 Au 0.5000 0.5000 0.0000 1
Au5 Au 0.8224 0.6157 0.7635 1
Au6 Au 0.8224 0.8843 0.2635 1
```

N(E_F) = 17.2 states/eV/cell
SG = P2_1/c
formation energy from the elements = -0.54 eV per atom


Repeat the eleventh record exactly.
## ThHg2Bi (PBE)

Data for an optimized crystal structure of ThHg2Bi.

CIF file:
```
data_ThHg2Bi
_cell_length_a 3.9809
_cell_length_b 3.9809
_cell_length_c 6.9420
_cell_angle_alpha 90.00
_cell_angle_beta 90.00
_cell_angle_gamma 90.00
_space_group_name_H-M_alt 'P 1'
_space_group_IT_number 1
loop_
_space_group_symop_operation_xyz
'x,y,z'
loop_
_atom_site_label
_atom_site_type_symbol
_atom_site_fract_x
_atom_site_fract_y
_atom_site_fract_z
_atom_site_occupancy
Th1 Th 0.0000 0.0000 0.0000 1
Hg1 Hg 0.5000 0.5000 0.2582 1
Hg2 Hg 0.5000 0.5000 0.7418 1
Bi1 Bi 0.0000 0.0000 0.5000 1
```

N(E_F) = 3.7 states/eV/cell
SG = P4/mmm
formation energy from the elements = -0.15 eV per atom